# CuP2OsO (PBEsol, relaxed)
data_CuP2OsO
_chemical_formula_sum 'Cu1 P2 Os1 O1'
_cell_length_a 4.684
_cell_length_b 4.684
_cell_length_c 3.622
_cell_angle_alpha 90.00
_cell_angle_beta 90.00
_cell_angle_gamma 90.00
_space_group_name_H-M_alt 'P 4/m m m'
_space_group_IT_number 123
_space_group_name_Hall '-P 4 2'
loop_
_atom_site_label
_atom_site_fract_x
_atom_site_fract_y
_atom_site_fract_z
Cu1 0.000 0.000 0.000
P1 0.000 0.500 0.500
Os1 0.500 0.500 0.500
O1 0.500 0.500 0.000
# VASP energy: -31.7 eV per cell
# D(E_F): 0.352 states/eV/atom
# magnetization: 0.00 μB/f.u.